PuScPaIn, optimized geometry, DFT PBE; ΔH_f (0 K) = 0.050 eV per atom; density of states at the Fermi level = 8.55 states/eV per cell; space-group type = F-43m (216)
1.0
5.133 0.000 0.000
2.566 4.445 0.000
2.566 1.482 4.191
Sc Pa In Pu
1 1 1 1
direct
0.500 0.500 0.500
0.250 0.250 0.250
0.750 0.750 0.750
0.000 0.000 0.000

TbPuPaIn, optimized geometry, DFT PBE; ΔH_f (0 K) = 0.102 eV per atom; density of states at the Fermi level = 9.29 states/eV per cell; space-group type = F-43m (216)
1.0
-3.421 4.017 0.027
-5.078 -0.852 -1.149
-3.654 0.328 3.792
In Pa Tb Pu
1 1 1 1
direct
0.500 0.500 0.500
0.000 0.000 0.000
0.250 0.250 0.250
0.750 0.750 0.750

PuThPaIn, optimized geometry, DFT PBE; ΔH_f (0 K) = 0.114 eV per atom; density of states at the Fermi level = 8.70 states/eV per cell; space-group type = F-43m (216)
1.0
-0.517 4.321 -3.095
-0.526 -0.549 -5.286
-4.680 1.063 -2.342
Pa In Th Pu
1 1 1 1
direct
0.750 0.750 0.750
0.250 0.250 0.250
0.500 0.500 0.500
0.000 0.000 0.000

PuPaTiIn, optimized geometry, DFT PBE; ΔH_f (0 K) = 0.065 eV per atom; density of states at the Fermi level = 10.01 states/eV per cell; space-group type = F-43m (216)
1.0
-2.408 0.426 -4.354
-2.143 -4.007 -2.070
-4.977 -0.373 -0.148
Ti Pa In Pu
1 1 1 1
direct
0.250 0.250 0.250
0.000 0.000 0.000
0.500 0.500 0.500
0.750 0.750 0.750

PuPaZnIn, optimized geometry, DFT PBE; ΔH_f (0 K) = 0.117 eV per atom; density of states at the Fermi level = 10.95 states/eV per cell; space-group type = F-43m (216)
1.0
-0.852 4.081 -3.099
-3.227 3.780 1.511
1.886 4.669 1.276
Zn Pa In Pu
1 1 1 1
direct
0.000 0.000 0.000
0.750 0.750 0.750
0.500 0.500 0.500
0.250 0.250 0.250

Rb2PaInS5, optimized geometry, DFT PBE; E_form (uncorrected) = -1.23 eV per atom; space-group type = Cmc2_1 (36)
1.0
4.148 0.000 0.000
-2.074 9.597 0.000
0.000 0.000 14.589
Rb Pa In S
4 2 2 10
direct
0.872 0.744 0.821
0.100 0.200 0.668
0.128 0.256 0.321
0.900 0.800 0.168
0.787 0.575 0.528
0.213 0.425 0.028
0.564 0.128 0.929
0.436 0.872 0.429
0.340 0.679 0.005
0.699 0.397 0.905
0.503 0.006 0.790
0.289 0.578 0.643
0.934 0.868 0.535
0.660 0.321 0.505
0.301 0.603 0.405
0.497 0.994 0.290
0.711 0.422 0.143
0.066 0.132 0.035

RbPa2InSe5, optimized geometry, DFT PBE; E_form (uncorrected) = -1.16 eV per atom; density of states at the Fermi level = 12.17 states/eV per cell; space-group type = I4/mcm (140)
1.0
-0.599 -7.597 2.184
2.152 -2.264 -7.286
7.416 4.976 4.957
Rb Pa In Se
2 4 2 10
direct
0.250 0.250 0.500
0.750 0.750 0.500
0.156 0.344 0.000
0.656 0.156 0.000
0.344 0.844 0.000
0.844 0.656 0.000
0.250 0.750 0.500
0.750 0.250 0.500
0.959 0.459 0.214
0.745 0.245 0.786
0.041 0.541 0.786
0.245 0.041 0.786
0.541 0.745 0.786
0.755 0.959 0.214
0.459 0.255 0.214
0.255 0.755 0.214
0.500 0.500 0.000
0.000 0.000 0.000

PaInRe, optimized geometry, DFT PBE; ΔH_f (0 K) = 0.201 eV per atom; density of states at the Fermi level = 7.70 states/eV per cell; space-group type = P4/nmm (129)
1.0
4.535 0.000 0.000
0.000 4.535 0.000
0.000 0.000 6.914
In Pa Re
2 2 2
direct
0.000 0.500 0.753
0.500 0.000 0.247
0.000 0.500 0.238
0.500 0.000 0.762
0.500 0.500 0.500
0.000 0.000 0.500

PaInRe, optimized geometry, DFT PBE; ΔH_f (0 K) = 0.093 eV per atom; density of states at the Fermi level = 3.53 states/eV per cell; space-group type = I4mm (107)
1.0
-0.368 1.820 -2.697
-0.604 -2.705 -1.743
-5.420 1.000 3.402
Re Pa In
1 1 1
direct
0.331 0.331 0.663
0.692 0.692 0.384
0.977 0.977 0.953

PaInRe4, optimized geometry, DFT PBE; ΔH_f (0 K) = 0.146 eV per atom; density of states at the Fermi level = 8.68 states/eV per cell; space-group type = F-43m (216)
1.0
-0.489 4.818 -2.356
-4.883 2.135 -0.774
-1.563 4.265 2.893
Re Pa In
4 1 1
direct
0.626 0.626 0.122
0.626 0.122 0.626
0.626 0.626 0.626
0.122 0.626 0.626
0.250 0.250 0.250
0.000 0.000 0.000

PaInReTc, optimized geometry, DFT PBE; ΔH_f (0 K) = 0.106 eV per atom; density of states at the Fermi level = 6.54 states/eV per cell; space-group type = F-43m (216)
1.0
4.748 0.000 0.000
2.374 4.112 0.000
2.374 1.371 3.877
Re Pa Tc In
1 1 1 1
direct
0.750 0.750 0.750
0.500 0.500 0.500
0.250 0.250 0.250
0.000 0.000 0.000

Pa2In8Rh, optimized geometry, DFT PBE; ΔH_f (0 K) = -0.229 eV per atom; density of states at the Fermi level = 10.57 states/eV per cell; space-group type = P4/mmm (123)
1.0
-2.250 4.047 -0.607
-0.835 -1.132 -4.453
-10.372 -5.274 3.286
Pa In Rh
2 8 1
direct
0.000 0.000 0.309
0.000 0.000 0.691
0.000 0.500 0.500
0.500 0.000 0.500
0.500 0.500 0.310
0.500 0.500 0.690
0.000 0.500 0.124
0.500 0.000 0.124
0.000 0.500 0.876
0.500 0.000 0.876
0.000 0.000 0.000

Which formula does entry 7 have? RbPa2InSe5